Below is a relaxed HfSc3Au crystal, with properties calculated at the GGA-PBE level.

Output
Formation enthalpy at 0 K: 764 meV per atom
Electronic total energy: -5.681 eV/atom
Total magnetization: 0.0 μB/cell
Crystal system: cubic
Density: 6.3 Mg/m³
Polymorph energy (0 for the lowest one): 2.19 eV per formula unit

Unit cell a=5.1186 b=5.1186 c=5.1186 alpha=90.00 beta=90.00 gamma=90.00
Space group Pm-3m (No. 221)
Symmetry-distinct sites (fractional):
Hf  0.0000  0.0000  0.0000 x1
Sc  0.0000  0.0000  0.5000 x3
Au  0.5000  0.5000  0.5000 x1

***

Below is a relaxed HfSc5Au6 crystal, with properties calculated at the GGA-PBE level.

Output
Formation enthalpy at 0 K: -737 meV per atom
Electronic total energy: -5.843 eV/atom
Total magnetization: 0.0 μB/cell
Crystal system: monoclinic
Density: 11.1 Mg/m³

Unit cell a=8.3705 b=14.3839 c=4.8149 alpha=90.00 beta=124.97 gamma=90.00
Space group C2/m (No. 12)
Symmetry-distinct sites (fractional):
Hf  0.0000  0.0000  0.0000 x2
Sc  0.0000  0.1720  0.5000 x4
Sc  0.0000  0.3369  0.0000 x4
Sc  0.0000  0.5000  0.5000 x2
Au  0.2337  0.0000  0.7333 x4
Au  0.2410  0.1648  0.2400 x8

***

Below is a relaxed HfSc3Au crystal, with properties calculated at the GGA-PBE level.

Output
Formation enthalpy at 0 K: 326 meV per atom
Electronic total energy: -6.120 eV/atom
Total magnetization: 1.6 μB/cell
Crystal system: cubic
Density: 6.3 Mg/m³
Polymorph energy (0 for the lowest one): 0.00 eV per formula unit

Unit cell a=5.1277 b=5.1277 c=5.1277 alpha=90.00 beta=90.00 gamma=90.00
Space group Pm-3m (No. 221)
Symmetry-distinct sites (fractional):
Hf  0.0000  0.0000  0.0000 x1
Sc  0.0000  0.5000  0.5000 x3
Au  0.5000  0.5000  0.5000 x1

***

Below is a relaxed HfScAu2 crystal, with properties calculated at the GGA-PBE level.

Output
Formation enthalpy at 0 K: -607 meV per atom
Electronic total energy: -6.317 eV/atom
Total magnetization: 0.0 μB/cell
Crystal system: tetragonal
Density: 13.0 Mg/m³

Unit cell a=4.8755 b=4.8755 c=3.3141 alpha=90.00 beta=90.00 gamma=90.00
Space group P4/mmm (No. 123)
Symmetry-distinct sites (fractional):
Hf  0.0000  0.0000  0.0000 x1
Sc  0.5000  0.5000  0.0000 x1
Au  0.0000  0.5000  0.5000 x2

***

Below is a relaxed HfScAu2 crystal, with properties calculated at the GGA-PBE level.

Output
Formation enthalpy at 0 K: 286 meV per atom
Electronic total energy: -5.424 eV/atom
Total magnetization: 0.0 μB/cell
Crystal system: orthorhombic
Density: 11.9 Mg/m³

Unit cell a=2.9547 b=5.2221 c=11.1772 alpha=90.00 beta=90.00 gamma=90.00
Space group Immm (No. 71)
Symmetry-distinct sites (fractional):
Hf  0.0000  0.0000  0.0000 x2
Sc  0.0000  0.0000  0.5000 x2
Au  0.0000  0.0000  0.2451 x4

***

Below is a relaxed HfSc3Au4 crystal, with properties calculated at the GGA-PBE level.

Output
Formation enthalpy at 0 K: -699 meV per atom
Electronic total energy: -5.956 eV/atom
Total magnetization: 0.0 μB/cell
Crystal system: trigonal
Density: 11.6 Mg/m³

Unit cell a=4.8212 b=4.8212 c=23.5569 alpha=90.00 beta=90.00 gamma=120.00
Space group R-3m (No. 166, hexagonal axes)
Symmetry-distinct sites (fractional):
Hf  0.0000  0.0000  0.0000 x3
Sc  0.0000  0.0000  0.2482 x6
Sc  0.0000  0.0000  0.5000 x3
Au  0.0000  0.0000  0.1232 x6
Au  0.0000  0.0000  0.3729 x6

***

Below is a relaxed HfScAu6 crystal, with properties calculated at the GGA-PBE level.

Output
Formation enthalpy at 0 K: -517 meV per atom
Electronic total energy: -5.010 eV/atom
Total magnetization: 0.0 μB/cell
Crystal system: monoclinic
Density: 15.8 Mg/m³

Unit cell a=9.0645 b=4.3144 c=8.5841 alpha=90.00 beta=118.29 gamma=90.00
Space group C2/m (No. 12)
Symmetry-distinct sites (fractional):
Hf  0.0000  0.0000  0.0000 x2
Sc  0.0000  0.0000  0.5000 x2
Au  0.0024  0.5000  0.2489 x4
Au  0.2493  0.0000  0.8764 x4
Au  0.2493  0.5000  0.6263 x4

***

Below is a relaxed HfScSi2Au crystal, with properties calculated at the GGA-PBE level.

Output
Electronic total energy: -5.410 eV/atom
Total magnetization: 0.0 μB/cell
Formation energy without anion corrections: 3.4 eV per formula unit
Crystal system: tetragonal
Density: 7.0 Mg/m³

Unit cell a=4.7404 b=4.7404 c=5.0429 alpha=90.00 beta=90.00 gamma=90.00
Space group P4/mmm (No. 123)
Symmetry-distinct sites (fractional):
Hf  0.0000  0.0000  0.0000 x1
Sc  0.5000  0.5000  0.0000 x1
Si  0.0000  0.5000  0.5000 x2
Au  0.5000  0.5000  0.5000 x1

***

Below is a relaxed HfScSn2Au crystal, with properties calculated at the GGA-PBE level.

Output
Formation enthalpy at 0 K: 805 meV per atom
Electronic total energy: -4.708 eV/atom
Total magnetization: 0.0 μB/cell
Crystal system: tetragonal
Density: 7.6 Mg/m³

Unit cell a=5.3519 b=5.3519 c=4.9934 alpha=90.00 beta=90.00 gamma=90.00
Space group P4/mmm (No. 123)
Symmetry-distinct sites (fractional):
Hf  0.0000  0.0000  0.0000 x1
Sc  0.0000  0.0000  0.5000 x1
Sn  0.0000  0.5000  0.5000 x2
Au  0.5000  0.5000  0.0000 x1

***

Below is a relaxed HfScSnAu crystal, with properties calculated at the GGA-PBE level.

Output
Formation enthalpy at 0 K: -439 meV per atom
Electronic total energy: -6.330 eV/atom
Total magnetization: 0.0 μB/cell
Crystal system: cubic
Density: 10.7 Mg/m³

Unit cell a=6.9435 b=6.9435 c=6.9435 alpha=90.00 beta=90.00 gamma=90.00
Space group F-43m (No. 216)
Symmetry-distinct sites (fractional):
Hf  0.0000  0.0000  0.0000 x4
Sc  0.0000  0.0000  0.5000 x4
Sn  0.2500  0.2500  0.2500 x4
Au  0.2500  0.2500  0.7500 x4

***

Below is a relaxed HfScTlAu crystal, with properties calculated at the GGA-PBE level.

Output
Formation enthalpy at 0 K: -270 meV per atom
Electronic total energy: -5.752 eV/atom
Total magnetization: 3.7 μB/cell
Crystal system: cubic
Density: 12.2 Mg/m³

Unit cell a=6.9791 b=6.9791 c=6.9791 alpha=90.00 beta=90.00 gamma=90.00
Space group F-43m (No. 216)
Symmetry-distinct sites (fractional):
Hf  0.0000  0.0000  0.0000 x4
Sc  0.0000  0.0000  0.5000 x4
Tl  0.2500  0.2500  0.7500 x4
Au  0.2500  0.2500  0.2500 x4

***

Below is a relaxed HfScZnAu crystal, with properties calculated at the GGA-PBE level.

Output
Formation enthalpy at 0 K: -407 meV per atom
Electronic total energy: -5.616 eV/atom
Total magnetization: 2.7 μB/cell
Crystal system: cubic
Density: 10.5 Mg/m³

Unit cell a=6.7435 b=6.7435 c=6.7435 alpha=90.00 beta=90.00 gamma=90.00
Space group F-43m (No. 216)
Symmetry-distinct sites (fractional):
Hf  0.0000  0.0000  0.0000 x4
Sc  0.0000  0.0000  0.5000 x4
Zn  0.2500  0.2500  0.2500 x4
Au  0.2500  0.2500  0.7500 x4